(1)
VASP calculation (GGA-PBEsol) on a relaxed structure of InP2H.

The structure belongs to space group Fm-3m (No. 225); the cell edges are 6.228, 6.228 and 6.228 Å and the angles 90.00°, 90.00° and 90.00°. Symmetry generates all atoms from In at (0.000, 0.000, 0.000), P at (0.250, 0.250, 0.250) and H at (0.000, 0.000, 0.500).

Its energy is -3.644 eV per atom.

(2)
VASP calculation (GGA-PBEsol) on a relaxed structure of H3ClF.

The structure belongs to space group Pm-3m (No. 221); the cell edges are 3.316, 3.316 and 3.316 Å and the angles 90.00°, 90.00° and 90.00°. Symmetry generates all atoms from H at (0.000, 0.000, 0.500), Cl at (0.500, 0.500, 0.500) and F at (0.000, 0.000, 0.000).

Its energy is -2.271 eV per atom.

(3)
VASP calculation (GGA-PBEsol) on a relaxed structure of Sb2AsRh.

The structure belongs to space group P4/mmm (No. 123); the cell edges are 3.255, 3.255 and 7.482 Å and the angles 90.00°, 90.00° and 90.00°. Symmetry generates all atoms from Sb at (0.000, 0.000, 0.218), As at (0.500, 0.500, 0.500) and Rh at (0.500, 0.500, 0.000).

Its energy is -5.590 eV per atom. Its formation energy from raw total energies is 0.000 eV per atom.